w) Entry from Alexandria via LeMat-Bulk: a geometry-optimized MoP3Pd structure (PBE).

Calculated values
total magnetic moment	0.0	μB per formula unit

a b c (Å): 4.5484 4.5484 4.5484
angles (deg): 90.00 90.00 90.00
Space group Pm-3m (No. 221)
One atom of each set of equivalent atoms:
1 Mo 0.0000 0.0000 0.0000
2 P 0.0000 0.5000 0.5000
3 Pd 0.5000 0.5000 0.5000



x) Entry from Alexandria via LeMat-Bulk: a geometry-optimized MoP3Pd structure (PBE).

Calculated values
total magnetic moment	0.0	μB per formula unit

a b c (Å): 4.6505 4.6505 4.6505
angles (deg): 90.00 90.00 90.00
Space group Pm-3m (No. 221)
One atom of each set of equivalent atoms:
1 Mo 0.0000 0.0000 0.0000
2 P 0.0000 0.0000 0.5000
3 Pd 0.5000 0.5000 0.5000



Most stable: x). Least stable: w).



w) Entry from Alexandria via LeMat-Bulk: a geometry-optimized MoP2PdS structure (PBE).

Calculated values
total magnetic moment	0.0	μB per formula unit

a b c (Å): 4.5338 4.5338 4.6209
angles (deg): 90.00 90.00 90.00
Space group P4/mmm (No. 123)
One atom of each set of equivalent atoms:
1 Mo 0.0000 0.0000 0.0000
2 P 0.0000 0.5000 0.5000
3 Pd 0.5000 0.5000 0.5000
4 S 0.5000 0.5000 0.0000



x) Entry from Alexandria via LeMat-Bulk: a geometry-optimized MoP2PdS structure (PBE).

Calculated values
total magnetic moment	0.0	μB per formula unit

a b c (Å): 4.7132 4.7132 4.5521
angles (deg): 90.00 90.00 90.00
Space group P4/mmm (No. 123)
One atom of each set of equivalent atoms:
1 Mo 0.0000 0.0000 0.0000
2 P 0.0000 0.5000 0.0000
3 Pd 0.5000 0.5000 0.5000
4 S 0.0000 0.0000 0.5000



Most stable: x). Least stable: w).